Here is a relaxed SmGa4Tc crystal from the Alexandria database. Energies are from PBE-GGA.

Geometry as POSCAR:
```
SmGa4Tc
1.0
-2.2544 3.1439 3.8507
2.2544 -3.1439 3.8507
2.2544 3.1439 -3.8507
Sm Ga Tc
1 4 1
Cartesian
0.0000 0.0000 0.0000 Sm
2.2544 1.7858 -1.2414 Ga
2.2544 1.7858 1.2414 Ga
0.0000 1.3581 2.6093 Ga
0.0000 1.3581 5.0921 Ga
0.0000 3.1439 0.0000 Tc
```

Energy above the most stable polymorph in this dataset (meV per atom): 158.1
Theoretical density (g/cm³): 8.02
Size of the total moment (μB/atom): 0.000
Space group: Immm, No. 71